No. 1
Here is an optimized crystal structure of TePAu from Alexandria via LeMat-Bulk. Energies are from PBE.

Values from the calculation:
Space-group type = I4mm, No. 107
Polymorph energy (0 for the lowest one) = 424 meV per atom
Formation energy without anion corrections = 41.5 kJ per mole of atoms

extended XYZ file:
```
3
Lattice="-1.590 1.590 8.208 1.590 -1.590 8.208 1.590 1.590 -8.208" Properties=species:S:1:pos:R:3 pbc="T T T"
Te 0.000 0.000 0.000
P 0.000 0.000 11.754
Au 0.000 0.000 4.574
```



No. 2
Here is an optimized crystal structure of K2ZnPt from Alexandria via LeMat-Bulk. Energies are from PBE.

Values from the calculation:
Space-group type = I-4m2, No. 119
Energy relative to the elements = 101 meV per atom

extended XYZ file:
```
4
Lattice="-2.609 2.609 3.714 2.609 -2.609 3.714 2.609 2.609 -3.714" Properties=species:S:1:pos:R:3 pbc="T T T"
K 0.000 0.000 0.000
K 0.000 2.609 1.857
Zn 0.000 0.000 3.714
Pt 2.609 0.000 1.857
```



No. 3
Here is an optimized crystal structure of LaZn12 from Alexandria via LeMat-Bulk. Energies are from PBE.

Values from the calculation:
Space-group type = I4/mmm, No. 139
Energy relative to the elements = -192 meV per atom

extended XYZ file:
```
13
Lattice="-4.475 4.475 2.665 4.475 -4.475 2.665 4.475 4.475 -2.665" Properties=species:S:1:pos:R:3 pbc="T T T"
La 0.000 0.000 0.000
Zn 2.238 2.238 -1.333
Zn 3.182 0.000 0.000
Zn 2.238 -2.238 1.333
Zn 5.768 0.000 0.000
Zn 4.475 2.487 0.000
Zn 0.000 3.182 0.000
Zn -2.238 2.238 1.333
Zn 2.487 4.475 0.000
Zn 2.238 2.238 1.333
Zn 1.988 0.000 2.665
Zn 0.000 5.768 0.000
Zn 0.000 1.988 2.665
```



No. 4
Here is an optimized crystal structure of Dy3Th2In2 from Alexandria via LeMat-Bulk. Energies are from PBE.

Values from the calculation:
Space-group type = Cmmm, No. 65
Energy relative to the elements = -107 meV per atom

extended XYZ file:
```
7
Lattice="2.383 -12.357 0.000 2.383 12.357 0.000 0.000 0.000 3.466" Properties=species:S:1:pos:R:3 pbc="T T T"
Dy 0.000 0.000 0.000
Dy 2.383 8.996 0.000
Dy 2.383 -8.996 0.000
Th 2.383 5.251 1.733
Th 2.383 -5.251 1.733
In 2.383 1.725 1.733
In 2.383 -1.725 1.733
```



No. 5
Here is an optimized crystal structure of ErScN from Alexandria via LeMat-Bulk. Energies are from PBE.

Values from the calculation:
Space-group type = P3m1, No. 156
Polymorph energy (0 for the lowest one) = 0 meV per atom
Formation energy without anion corrections = -109.0 kJ per mole of atoms

extended XYZ file:
```
3
Lattice="3.350 0.000 0.000 -1.675 2.902 0.000 0.000 0.000 5.653" Properties=species:S:1:pos:R:3 pbc="T T T"
Er 0.000 0.000 0.000
Sc 0.000 1.934 2.542
N 1.675 0.967 1.388
```



No. 6
Here is an optimized crystal structure of Ac2HgPdAu from Alexandria via LeMat-Bulk. Energies are from PBE.

Values from the calculation:
Space-group type = Cmcm, No. 63
Energy relative to the elements = -666 meV per atom

extended XYZ file:
```
10
Lattice="4.190 -7.380 0.000 4.190 7.380 0.000 0.000 0.000 4.941" Properties=species:S:1:pos:R:3 pbc="T T T"
Ac 1.915 1.909 1.235
Ac 1.915 -1.909 3.706
Ac 6.464 1.909 1.235
Ac 6.464 -1.909 3.706
Hg 4.190 2.370 3.706
Hg 4.190 -2.370 1.235
Pd 4.190 3.914 1.235
Pd 4.190 -3.914 3.706
Au 4.190 6.644 1.235
Au 4.190 -6.644 3.706
```



Repeat the fifth record exactly.
Here is an optimized crystal structure of ErScN from Alexandria via LeMat-Bulk. Energies are from PBE.

Values from the calculation:
Space-group type = P3m1, No. 156
Polymorph energy (0 for the lowest one) = 0 meV per atom
Formation energy without anion corrections = -109.0 kJ per mole of atoms

extended XYZ file:
```
3
Lattice="3.350 0.000 0.000 -1.675 2.902 0.000 0.000 0.000 5.653" Properties=species:S:1:pos:R:3 pbc="T T T"
Er 0.000 0.000 0.000
Sc 0.000 1.934 2.542
N 1.675 0.967 1.388
```